[1]
This record from Alexandria describes a relaxed structure of Ac5InGa2. The functional is PBE-GGA.

Lattice parameters (Å, degrees): 8.3884 8.3884 16.1460 90.00 90.00 90.00
With the nearest neighbours (Å) after each atom.
Space group I4/mcm (No. 140)
Inequivalent atoms, fractional coordinates:
Ac1 0.0000 0.0000 0.0000 [4 per cell]  4 Ga 3.37
Ac2 0.1720 0.3280 0.1449 [16 per cell]  3 Ga 3.39-3.45, 2 In 3.54
In1 0.0000 0.0000 0.2500 [4 per cell]  8 Ac 3.54
Ga1 0.1143 0.3857 0.5000 [8 per cell]  1 Ga 2.71

## Properties
- formation energy from the elements (eV/atom) = -0.3814
- raw total energy (eV/atom) = -4.048



[2]
This record from Alexandria describes a relaxed structure of Tl3FeSe. The functional is PBE-GGA.

Lattice parameters (Å, degrees): 5.8817 5.8817 5.8817 90.00 90.00 90.00
With the nearest neighbours (Å) after each atom.
Space group Pm-3m (No. 221)
Inequivalent atoms, fractional coordinates:
Tl1 0.0000 0.0000 0.5000 [3 per cell]  2 Se 2.94
Fe1 0.5000 0.5000 0.5000 [1 per cell]  12 Tl 4.16
Se1 0.0000 0.0000 0.0000 [1 per cell]  6 Tl 2.94

## Properties
- excess energy over the best structure of this formula in the dataset (eV per atom) = 0.564
- raw total energy (eV/atom) = -2.942
- E_form (uncorrected) (meV per atom) = 867



[3]
This record from Alexandria describes a relaxed structure of CaZr4Cd. The functional is PBE-GGA.

Lattice parameters (Å, degrees): 8.4603 8.4603 8.4603 90.00 90.00 90.00
With the nearest neighbours (Å) after each atom.
Space group F-43m (No. 216)
Inequivalent atoms, fractional coordinates:
Ca1 0.0000 0.0000 0.0000 [4 per cell]  12 Zr 3.51, 4 Cd 3.66
Zr1 0.1259 0.1259 0.3741 [16 per cell]  6 Zr 2.97-3.01
Cd1 0.2500 0.2500 0.7500 [4 per cell]  12 Zr 3.51, 4 Ca 3.66

## Properties
- formation energy from the elements (eV/atom) = 0.2771
- raw total energy (eV/atom) = -5.908



[4]
This record from Alexandria describes a relaxed structure of LiU2CuS5. The functional is PBE-GGA.

Lattice parameters (Å, degrees): 3.7402 15.6484 11.3512 90.00 90.00 90.00
With the nearest neighbours (Å) after each atom.
Space group Cmc2_1 (No. 36)
Inequivalent atoms, fractional coordinates:
Li1 0.0000 0.1743 0.0000 [4 per cell]  6 S 2.52-2.75
U1 0.0000 0.1203 0.3124 [4 per cell]  8 S 2.76-2.99
U2 0.0000 0.1253 0.6640 [4 per cell]  8 S 2.79-2.90
Cu1 0.0000 0.4480 0.3945 [4 per cell]  4 S 2.25-2.29
S1 0.0000 0.0053 0.9831 [4 per cell]  2 Cu 2.25
S2 0.0000 0.3063 0.6586 [4 per cell]  2 Li 2.61, 3 U 2.80-2.83
S3 0.0000 0.3110 0.3233 [4 per cell]  1 Cu 2.29
S4 0.0000 0.3349 0.9877 [4 per cell]  1 Li 2.52, 2 U 2.81
S5 0.0000 0.4957 0.7124 [4 per cell]  1 Cu 2.25

## Properties
- raw total energy (eV/atom) = -6.646
- E_form (uncorrected) (meV per atom) = -1176



[5]
This record from Alexandria describes a relaxed structure of TbScIrO6. The functional is PBE-GGA.

Lattice parameters (Å, degrees): 5.2891 5.2891 9.8072 90.00 90.00 120.00
With the nearest neighbours (Å) after each atom.
Space group P-31c (No. 163)
Inequivalent atoms, fractional coordinates:
Tb1 0.0000 0.0000 0.0000 [2 per cell]  6 O 2.31
Sc1 0.3333 0.6667 0.2500 [2 per cell]  6 O 2.11
Ir1 0.3333 0.6667 0.7500 [2 per cell]  6 O 1.96
O1 0.0224 0.3651 0.6382 [12 per cell]  1 Ir 1.96, 1 Sc 2.11

## Properties
- raw total energy (eV/atom) = -7.724
- E_form (uncorrected) (meV per atom) = -2216



[6]
This record from Alexandria describes a relaxed structure of PmGa2IrAu2. The functional is PBE-GGA.

Lattice parameters (Å, degrees): 4.0852 4.0852 16.5035 90.00 90.00 90.00
With the nearest neighbours (Å) after each atom.
Space group I4/mmm (No. 139)
Inequivalent atoms, fractional coordinates:
Pm1 0.0000 0.0000 0.0000 [2 per cell]  4 Ir 2.89
Ga1 0.0000 0.0000 0.3538 [4 per cell]  1 Ir 2.41, 4 Au 2.67
Ir1 0.0000 0.0000 0.5000 [2 per cell]  2 Ga 2.41
Au1 0.0000 0.5000 0.2500 [4 per cell]  4 Ga 2.67, 4 Au 2.89

## Properties
- formation energy from the elements (eV/atom) = -0.3196
- raw total energy (eV/atom) = -4.690



[7]
This record from Alexandria describes a relaxed structure of Zn2GePd5. The functional is PBE-GGA.

Lattice parameters (Å, degrees): 5.4988 10.5476 4.0990 90.00 90.00 90.00
With the nearest neighbours (Å) after each atom.
Space group Pbam (No. 55)
Inequivalent atoms, fractional coordinates:
Zn1 0.1514 0.1442 0.0000 [4 per cell]  9 Pd 2.61-2.78
Ge1 0.0000 0.5000 0.5000 [2 per cell]  8 Pd 2.52-2.75
Pd1 0.0000 0.0000 0.5000 [2 per cell]  4 Zn 2.68, 2 Ge 2.75, 6 Pd 2.86-2.91
Pd2 0.0967 0.7332 0.5000 [4 per cell]  1 Ge 2.52, 4 Zn 2.65-2.78, 2 Pd 2.77
Pd3 0.1820 0.3954 0.0000 [4 per cell]  2 Ge 2.53, 3 Zn 2.61-2.78

## Properties
- formation energy from the elements (eV/atom) = -0.5225
- raw total energy (eV/atom) = -4.664



[8]
This record from Alexandria describes a relaxed structure of PrAlZnNi3. The functional is PBE-GGA.

Lattice parameters (Å, degrees): 5.4885 12.6041 5.6771 90.00 90.00 90.00
With the nearest neighbours (Å) after each atom.
Space group Cmcm (No. 63)
Inequivalent atoms, fractional coordinates:
Pr1 0.0000 0.1885 0.2500 [4 per cell]  6 Ni 2.82-3.01, 2 Zn 2.90, 1 Al 2.97
Al1 0.0000 0.4242 0.2500 [4 per cell]  4 Ni 2.31
Zn1 0.0000 0.1414 0.7500 [4 per cell]  5 Ni 2.57-2.79, 2 Al 2.87
Ni1 0.0000 0.3626 0.7500 [4 per cell]  3 Al 2.69-2.94, 4 Ni 2.72, 1 Zn 2.79, 2 Pr 2.82
Ni2 0.2174 0.0000 0.0000 [8 per cell]  2 Al 2.31, 1 Ni 2.39, 2 Zn 2.57

## Properties
- formation energy from the elements (eV/atom) = -0.1906
- raw total energy (eV/atom) = -4.714



[9]
This record from Alexandria describes a relaxed structure of LiY2Si. The functional is PBE-GGA.

Lattice parameters (Å, degrees): 7.1264 7.1264 7.1264 90.00 90.00 90.00
With the nearest neighbours (Å) after each atom.
Space group F-43m (No. 216)
Inequivalent atoms, fractional coordinates:
Li1 0.0000 0.0000 0.0000 [4 per cell]  4 Si 3.09, 4 Y 3.09
Y1 0.0000 0.0000 0.5000 [4 per cell]  4 Y 3.09, 4 Si 3.09
Y2 0.2500 0.2500 0.2500 [4 per cell]  4 Li 3.09, 4 Y 3.09
Si1 0.2500 0.2500 0.7500 [4 per cell]  4 Li 3.09, 4 Y 3.09

## Properties
- raw total energy (eV/atom) = -4.925
- E_form (uncorrected) (meV per atom) = 142



[10]
This record from Alexandria describes a relaxed structure of MnFe5. The functional is PBE-GGA.

Lattice parameters (Å, degrees): 6.5680 6.5680 6.5680 90.00 90.00 90.00
With the nearest neighbours (Å) after each atom.
Space group F-43m (No. 216)
Inequivalent atoms, fractional coordinates:
Mn1 0.0000 0.0000 0.0000 [4 per cell]  16 Fe 2.72-2.84
Fe1 0.1247 0.1247 0.3753 [16 per cell]  6 Fe 2.32-2.33
Fe2 0.2500 0.2500 0.7500 [4 per cell]  12 Fe 2.72, 4 Mn 2.84

## Properties
- formation energy from the elements (eV/atom) = 0.1287
- raw total energy (eV/atom) = -8.452



[11]
This record from Alexandria describes a relaxed structure of Lu2AlSe. The functional is PBE-GGA.

Lattice parameters (Å, degrees): 3.6382 3.6382 28.6532 90.00 90.00 120.00
With the nearest neighbours (Å) after each atom.
Space group R-3m (No. 166, hexagonal axes)
Inequivalent atoms, fractional coordinates:
Lu1 0.0000 0.0000 0.1033 [6 per cell]  3 Se 2.78, 1 Al 2.96
Al1 0.0000 0.0000 0.0000 [3 per cell]  2 Lu 2.96
Se1 0.0000 0.0000 0.5000 [3 per cell]  6 Lu 2.78

## Properties
- raw total energy (eV/atom) = -4.478
- E_form (uncorrected) (meV per atom) = -411



[12]
This record from Alexandria describes a relaxed structure of BaAlSi3. The functional is PBE-GGA.

Lattice parameters (Å, degrees): 5.6809 5.6809 5.6809 90.00 90.00 90.00
With the nearest neighbours (Å) after each atom.
Space group Pm-3m (No. 221)
Inequivalent atoms, fractional coordinates:
Ba1 0.0000 0.0000 0.0000 [1 per cell]  6 Si 2.84
Al1 0.5000 0.5000 0.5000 [1 per cell]  12 Si 4.02
Si1 0.0000 0.0000 0.5000 [3 per cell]  2 Ba 2.84

## Properties
- raw total energy (eV/atom) = -2.554
- E_form (uncorrected) (meV per atom) = 1833



Number 1: total magnetization 0.00 μB/cell, Fermi-level density of states 0.901 states/eV per atom. Number 2: total magnetization 3.34 μB/cell, Fermi-level density of states 3.062 states/eV per atom. Number 3: total magnetization 0.00 μB/cell, Fermi-level density of states 1.214 states/eV per atom. Number 4: total magnetization 16.03 μB/cell, Fermi-level density of states 1.204 states/eV per atom. Number 5: total magnetization 5.79 μB/cell, Fermi-level density of states 0.317 states/eV per atom. Number 6: total magnetization 0.00 μB/cell, Fermi-level density of states 0.390 states/eV per atom. Number 7: total magnetization 0.00 μB/cell, Fermi-level density of states 0.292 states/eV per atom. Number 8: total magnetization 0.00 μB/cell, Fermi-level density of states 0.571 states/eV per atom. Number 9: total magnetization 5.90 μB/cell, Fermi-level density of states 1.452 states/eV per atom. Number 10: total magnetization 24.15 μB/cell, Fermi-level density of states 1.328 states/eV per atom. Number 11: total magnetization 0.00 μB/cell, Fermi-level density of states 0.590 states/eV per atom. Number 12: total magnetization 0.00 μB/cell, Fermi-level density of states 0.992 states/eV per atom.